No. 1
Density functional theory data (PBE) for a relaxed SrPu5Se6 crystal.

Lattice parameters (Å, degrees): 7.2834 7.2717 7.2691 59.99 80.41 70.55
Site moments in Bohr magnetons follow the coordinates.
Element x y z (fractional)
Se 0.2566 0.9142 0.6576  -0.09
Se 0.7434 0.0858 0.3424  -0.09
Se 0.2536 0.2585 0.0000  -0.09
Sr 0.0000 0.0000 0.0000  0.04
Se 0.7464 0.7415 0.0000  -0.09
Pu 0.5000 0.8363 0.3273  5.50
Pu 0.5000 0.5000 0.0000  5.49
Se 0.2566 0.5718 0.3424  -0.09
Pu 0.0000 0.3326 0.3347  5.51
Se 0.7434 0.4282 0.6576  -0.09
Pu 0.5000 0.1637 0.6727  5.50
Pu 0.0000 0.6674 0.6653  5.51

Summary:
For the uncorrected formation energy, the calculation gives -1.5850 eV per atom.

---

No. 2
Density functional theory data (PBE) for a relaxed La3CeIn12 crystal.

Lattice parameters (Å, degrees): 4.7656 4.7656 19.1205 90.00 90.00 90.00
Site moments in Bohr magnetons follow the coordinates.
Element x y z (fractional)
In 0.5000 0.5000 0.0000  0.00
In 0.0000 0.5000 0.6259  0.00
La 0.0000 0.0000 0.2479  0.00
Ce 0.0000 0.0000 0.0000  0.65
In 0.0000 0.5000 0.3741  0.00
In 0.5000 0.0000 0.1219  0.00
In 0.5000 0.5000 0.7512  0.00
In 0.0000 0.5000 0.8781  0.00
La 0.0000 0.0000 0.7521  0.00
In 0.5000 0.0000 0.3741  0.00
In 0.0000 0.5000 0.1219  0.00
In 0.5000 0.5000 0.2488  0.00
In 0.5000 0.0000 0.8781  0.00
La 0.0000 0.0000 0.5000  -0.01
In 0.5000 0.0000 0.6259  0.00
In 0.5000 0.5000 0.5000  0.00

Summary:
The calculation puts the formation energy from the elements at -0.47 eV/atom.